No. 1
# PBE-GGA BaMgCd2Ag2, optimized geometry
data_BaMgCd2Ag2
_chemical_formula_sum 'Ba1 Mg1 Cd2 Ag2'
_space_group_name_H-M_alt 'P -3 m 1'
_space_group_IT_number 164
_space_group_name_Hall '-P 3 2"'
_cell_length_a 4.8772
_cell_length_b 4.8772
_cell_length_c 7.7542
_cell_angle_alpha 90.00
_cell_angle_beta 90.00
_cell_angle_gamma 120.00
loop_
_atom_site_label
_atom_site_fract_x
_atom_site_fract_y
_atom_site_fract_z
Ba1 0.0000 0.0000 0.0000
Mg1 0.0000 0.0000 0.5000
Cd1 0.3333 0.6667 0.3094
Ag1 0.3333 0.6667 0.6877
# Total moment, Bohr magnetons per cell: 0.00
# Volume, Å³/cell: 159.74
# Calculated formation energy, eV per atom: -0.225

=====

No. 2
# PBE-GGA AlSb3, optimized geometry
data_AlSb3
_chemical_formula_sum 'Al2 Sb6'
_space_group_name_H-M_alt 'P 4/n m m'
_space_group_IT_number 129
_cell_length_a 5.965
_cell_length_b 5.965
_cell_length_c 6.269
_cell_angle_alpha 90.00
_cell_angle_beta 90.00
_cell_angle_gamma 90.00
loop_
_space_group_symop_operation_xyz
'x,y,z'
'-x,-y,-z'
'-y+1/2,x,z'
'y+1/2,-x,-z'
'-x+1/2,-y+1/2,z'
'x+1/2,y+1/2,-z'
'y,-x+1/2,z'
'-y,x+1/2,-z'
'x+1/2,-y,-z'
'-x+1/2,y,z'
'-y,-x,-z'
'y,x,z'
'-x,y+1/2,-z'
'x,-y+1/2,z'
'y+1/2,x+1/2,-z'
'-y+1/2,-x+1/2,z'
loop_
_atom_site_label
_atom_site_fract_x
_atom_site_fract_y
_atom_site_fract_z
Al1 0.250 0.250 0.228
Sb1 0.250 0.250 0.775
Sb2 0.250 0.750 0.271
# Excess energy over the best structure of this formula in the dataset, meV per atom: 0
# Total moment, Bohr magnetons per cell: 0.00
# Volume, Å³/cell: 223.08

=====

No. 3
# PBE-GGA Cu2OsPdS, optimized geometry
data_Cu2OsPdS
_chemical_formula_sum 'Cu2 Os1 Pd1 S1'
_space_group_name_H-M_alt 'P 4/m m m'
_space_group_IT_number 123
_space_group_name_Hall '-P 4 2'
_cell_length_a 4.261
_cell_length_b 4.261
_cell_length_c 4.314
_cell_angle_alpha 90.00
_cell_angle_beta 90.00
_cell_angle_gamma 90.00
loop_
_atom_site_label
_atom_site_fract_x
_atom_site_fract_y
_atom_site_fract_z
Cu1 0.000 0.500 0.000
Os1 0.000 0.000 0.500
Pd1 0.500 0.500 0.500
S1 0.000 0.000 0.000
# Total moment, Bohr magnetons per cell: 0.00
# Volume, Å³/cell: 78.35
# Total DFT energy (no corrections), eV per cell: -25.758

=====

No. 4
# PBE-GGA PrAg2Pb2, optimized geometry
data_PrAg2Pb2
_chemical_formula_sum 'Pr4 Ag8 Pb8'
_space_group_name_H-M_alt 'C m c m'
_space_group_IT_number 63
_space_group_name_Hall '-C 2c 2'
_cell_length_a 4.653
_cell_length_b 23.614
_cell_length_c 4.648
_cell_angle_alpha 90.00
_cell_angle_beta 90.00
_cell_angle_gamma 90.00
loop_
_atom_site_label
_atom_site_fract_x
_atom_site_fract_y
_atom_site_fract_z
Pr1 0.000 0.137 0.250
Ag1 0.000 0.036 0.750
Ag2 0.000 0.464 0.750
Pb1 0.000 0.250 0.750
Pb2 0.000 0.381 0.250
# Total moment, Bohr magnetons per cell: 0.00
# Volume, Å³/cell: 510.70
# Calculated formation energy, eV per atom: -0.251

=====

No. 5
# PBE-GGA Sm2DyHo3S6, optimized geometry
data_Sm2DyHo3S6
_chemical_formula_sum 'Sm4 Dy2 Ho6 S12'
_space_group_name_H-M_alt 'C 1 2/m 1'
_space_group_IT_number 12
_cell_length_a 17.129
_cell_length_b 3.913
_cell_length_c 7.905
_cell_angle_alpha 90.00
_cell_angle_beta 103.71
_cell_angle_gamma 90.00
loop_
_space_group_symop_operation_xyz
'x,y,z'
'-x,-y,-z'
'-x,y,-z'
'x,-y,z'
'x+1/2,y+1/2,z'
'-x+1/2,-y+1/2,-z'
'-x+1/2,y+1/2,-z'
'x+1/2,-y+1/2,z'
loop_
_atom_site_label
_atom_site_fract_x
_atom_site_fract_y
_atom_site_fract_z
Sm1 0.167 0.000 0.335
Dy1 0.000 0.500 0.000
Ho1 0.000 0.500 0.500
Ho2 0.168 0.000 0.833
S1 0.003 0.000 0.750
S2 0.164 0.500 0.590
S3 0.166 0.500 0.075
# Total moment, Bohr magnetons per cell: 0.00
# Volume, Å³/cell: 514.80
# Total DFT energy (no corrections), eV per cell: -152.960

=====

No. 6
# PBE-GGA YZr2Se, optimized geometry
data_YZr2Se
_chemical_formula_sum 'Y2 Zr4 Se2'
_space_group_name_H-M_alt 'A m m 2'
_space_group_IT_number 38
_cell_length_a 3.518
_cell_length_b 4.433
_cell_length_c 12.391
_cell_angle_alpha 90.00
_cell_angle_beta 90.00
_cell_angle_gamma 90.00
loop_
_space_group_symop_operation_xyz
'x,y,z'
'-x,-y,z'
'-x,y,z'
'x,-y,z'
'x,y+1/2,z+1/2'
'-x,-y+1/2,z+1/2'
'-x,y+1/2,z+1/2'
'x,-y+1/2,z+1/2'
loop_
_atom_site_label
_atom_site_fract_x
_atom_site_fract_y
_atom_site_fract_z
Y1 0.000 0.000 0.000
Zr1 0.000 0.000 0.727
Zr2 0.500 0.000 0.324
Se1 0.500 0.000 0.547
# Total moment, Bohr magnetons per cell: 0.00
# Volume, Å³/cell: 193.20
# Total DFT energy (no corrections), eV per cell: -59.115